Version a
The following is a DFT calculation (SCAN) of BeFeTc at its PBEsol-relaxed geometry.

Values from the calculation:
* total magnetic moment: 0.000 μB per cell
* symmetry: I4mm (107)

Lattice parameters (Å, degrees): 4.7204 4.7204 4.7204 146.87 146.87 47.55
Sites, in units of the cell vectors:
Be: 0.0000 0.0000 0.0000
Fe: 0.6394 0.6394 0.0000
Tc: 0.3181 0.3181 0.0000

=====

Version b
The following is a DFT calculation (SCAN) of BeFeTc at its PBEsol-relaxed geometry.

Values from the calculation:
* total magnetic moment: 2.051 μB per cell
* symmetry: P3m1 (156)

Lattice parameters (Å, degrees): 2.5747 2.5747 5.8442 90.00 90.00 120.00
Sites, in units of the cell vectors:
Be: 0.0000 0.0000 0.0000
Fe: 0.3333 0.6667 0.6914
Tc: 0.6667 0.3333 0.3509

=====

Best to worst by energy: version a, version b.

=====

Version a
The following is a DFT calculation (SCAN) of TiBeFe3 at its PBEsol-relaxed geometry.

Values from the calculation:
* total magnetic moment: 3.996 μB per cell
* symmetry: Pm-3m (221)

Lattice parameters (Å, degrees): 3.8527 3.8527 3.8527 90.00 90.00 90.00
Sites, in units of the cell vectors:
Ti: 0.0000 0.0000 0.0000
Be: 0.5000 0.5000 0.5000
Fe: 0.0000 0.5000 0.5000
Fe: 0.5000 0.0000 0.5000
Fe: 0.5000 0.5000 0.0000

=====

Version b
The following is a DFT calculation (SCAN) of TiBeFe3 at its PBEsol-relaxed geometry.

Values from the calculation:
* total magnetic moment: 5.588 μB per cell
* symmetry: Pm-3m (221)

Lattice parameters (Å, degrees): 4.1821 4.1821 4.1821 90.00 90.00 90.00
Sites, in units of the cell vectors:
Ti: 0.0000 0.0000 0.0000
Be: 0.5000 0.5000 0.5000
Fe: 0.0000 0.0000 0.5000
Fe: 0.0000 0.5000 0.0000
Fe: 0.5000 0.0000 0.0000

=====

Best to worst by energy: version a, version b.

=====

Version a
The following is a DFT calculation (SCAN) of YBe2Fe at its PBEsol-relaxed geometry.

Values from the calculation:
* total magnetic moment: 1.071 μB per cell
* symmetry: Cmmm (65)

Lattice parameters (Å, degrees): 4.2628 4.2628 3.0950 90.00 90.00 109.61
Sites, in units of the cell vectors:
Y: 0.0000 0.0000 0.0000
Be: 0.0000 0.5000 0.5000
Be: 0.5000 0.0000 0.5000
Fe: 0.5000 0.5000 0.0000

=====

Version b
The following is a DFT calculation (SCAN) of YBe2Fe at its PBEsol-relaxed geometry.

Values from the calculation:
* total magnetic moment: 1.086 μB per cell
* symmetry: C2/m (12)

Lattice parameters (Å, degrees): 3.7014 3.7014 5.1814 110.74 110.74 59.78
Sites, in units of the cell vectors:
Y: 0.0000 0.0000 0.0000
Be: 0.1939 0.1939 0.5809
Be: 0.8061 0.8061 0.4191
Fe: 0.5000 0.5000 0.5000

=====

Best to worst by energy: version b, version a.

=====

Version a
The following is a DFT calculation (SCAN) of ZrBe2Fe at its PBEsol-relaxed geometry.

Values from the calculation:
* total magnetic moment: 1.626 μB per cell
* symmetry: Pmmm (47)

Lattice parameters (Å, degrees): 2.6879 3.0711 5.7508 90.00 90.00 90.00
Sites, in units of the cell vectors:
Zr: 0.0000 0.0000 0.0000
Be: 0.5000 0.5000 0.3188
Be: 0.5000 0.5000 0.6812
Fe: 0.0000 0.0000 0.5000

=====

Version b
The following is a DFT calculation (SCAN) of ZrBe2Fe at its PBEsol-relaxed geometry.

Values from the calculation:
* total magnetic moment: 0.001 μB per cell
* symmetry: R3m (160)

Lattice parameters (Å, degrees): 4.8034 4.8034 4.8034 44.39 44.39 44.39
Sites, in units of the cell vectors:
Zr: 0.0000 0.0000 0.0000
Be: 0.4994 0.4994 0.4994
Be: 0.8028 0.8028 0.8028
Fe: 0.2084 0.2084 0.2084

=====

Best to worst by energy: version a, version b.

=====

Version a
The following is a DFT calculation (SCAN) of LaBe3Ga at its PBEsol-relaxed geometry.

Values from the calculation:
* total magnetic moment: 0.000 μB per cell
* symmetry: Pm-3m (221)

Lattice parameters (Å, degrees): 4.3328 4.3328 4.3328 90.00 90.00 90.00
Sites, in units of the cell vectors:
La: 0.0000 0.0000 0.0000
Be: 0.0000 0.5000 0.5000
Be: 0.5000 0.0000 0.5000
Be: 0.5000 0.5000 0.0000
Ga: 0.5000 0.5000 0.5000

=====

Version b
The following is a DFT calculation (SCAN) of LaBe3Ga at its PBEsol-relaxed geometry.

Values from the calculation:
* total magnetic moment: 0.238 μB per cell
* symmetry: Pm-3m (221)

Lattice parameters (Å, degrees): 5.0085 5.0085 5.0085 90.00 90.00 90.00
Sites, in units of the cell vectors:
La: 0.0000 0.0000 0.0000
Be: 0.0000 0.0000 0.5000
Be: 0.0000 0.5000 0.0000
Be: 0.5000 0.0000 0.0000
Ga: 0.5000 0.5000 0.5000

=====

Best to worst by energy: version a, version b.

=====

Version a
The following is a DFT calculation (SCAN) of BeGaTeN2 at its PBEsol-relaxed geometry.

Values from the calculation:
* total magnetic moment: 3.292 μB per cell
* symmetry: P4/mmm (123)

Lattice parameters (Å, degrees): 3.6417 3.6417 5.2983 90.00 90.00 90.00
Sites, in units of the cell vectors:
Be: 0.0000 0.0000 0.0000
Ga: 0.5000 0.5000 0.5000
Te: 0.0000 0.0000 0.5000
N: 0.0000 0.5000 0.0000
N: 0.5000 0.0000 0.0000

=====

Version b
The following is a DFT calculation (SCAN) of BeGaTeN2 at its PBEsol-relaxed geometry.

Values from the calculation:
* total magnetic moment: 3.215 μB per cell
* symmetry: P4/mmm (123)

Lattice parameters (Å, degrees): 3.7353 3.7353 6.1444 90.00 90.00 90.00
Sites, in units of the cell vectors:
Be: 0.0000 0.0000 0.0000
Ga: 0.5000 0.5000 0.5000
Te: 0.5000 0.5000 0.0000
N: 0.0000 0.5000 0.5000
N: 0.5000 0.0000 0.5000

=====

Best to worst by energy: version a, version b.